{"formula": "BPt2Au", "functional": "GGA-PBE", "state": "relaxed", "cell": [[5.417, -1.429, 0.000], [5.417, 1.429, 0.000], [-0.879, 0.000, 7.345]], "species": ["B", "B", "Pt", "Pt", "Pt", "Pt", "Au", "Au"], "frac_coords": [[0.104, 0.104, 0.464], [0.896, 0.896, 0.536], [0.273, 0.273, 0.669], [0.465, 0.465, 0.316], [0.535, 0.535, 0.684], [0.727, 0.727, 0.331], [0.131, 0.131, 0.008], [0.869, 0.869, 0.992]], "sg": "C2/m, No. 12", "vol_a3_per_atom": 14.217, "total_magnetization_mub_per_atom": 0.00, "e_form_ev_per_atom": -0.07}

---

{"formula": "YSeCl", "functional": "GGA-PBE", "state": "relaxed", "cell": [[0.000, 3.323, 3.323], [3.323, 0.000, 3.323], [3.323, 3.323, 0.000]], "species": ["Y", "Se", "Cl"], "frac_coords": [[0.000, 0.000, 0.000], [0.500, 0.500, 0.500], [0.250, 0.250, 0.250]], "e_form_raw_ev_per_atom": -1.2111, "sg": "F-43m, No. 216", "vol_a3_per_atom": 24.467, "total_magnetization_mub_per_atom": 0.00}

---

{"formula": "Tm2TiAl2Ni5", "functional": "GGA-PBE", "state": "relaxed", "cell": [[9.735, 0.000, 0.000], [0.000, 9.735, 0.000], [0.000, 0.000, 3.231]], "species": ["Tm", "Tm", "Tm", "Tm", "Ti", "Ti", "Al", "Al", "Al", "Al", "Ni", "Ni", "Ni", "Ni", "Ni", "Ni", "Ni", "Ni", "Ni", "Ni"], "frac_coords": [[0.174, 0.326, 0.000], [0.326, 0.826, 0.000], [0.674, 0.174, 0.000], [0.826, 0.674, 0.000], [0.000, 0.000, 0.000], [0.500, 0.500, 0.000], [0.125, 0.625, 0.000], [0.375, 0.125, 0.000], [0.625, 0.875, 0.000], [0.875, 0.375, 0.000], [0.000, 0.500, 0.500], [0.051, 0.802, 0.500], [0.198, 0.051, 0.500], [0.302, 0.551, 0.500], [0.449, 0.302, 0.500], [0.500, 0.000, 0.500], [0.551, 0.698, 0.500], [0.698, 0.449, 0.500], [0.802, 0.949, 0.500], [0.949, 0.198, 0.500]], "sg": "P4/mbm, No. 127", "vol_a3_per_atom": 15.311, "total_magnetization_mub_per_atom": 0.00, "e_form_ev_per_atom": -0.44}

---

{"formula": "Li3AcSe3", "functional": "GGA-PBE", "state": "relaxed", "cell": [[3.799, 2.193, 7.193], [-3.799, 2.193, 7.193], [0.000, -4.387, 7.193]], "species": ["Li", "Li", "Li", "Li", "Li", "Li", "Ac", "Ac", "Se", "Se", "Se", "Se", "Se", "Se"], "frac_coords": [[0.133, 0.811, 0.430], [0.189, 0.570, 0.867], [0.430, 0.133, 0.811], [0.570, 0.867, 0.189], [0.811, 0.430, 0.133], [0.867, 0.189, 0.570], [0.334, 0.334, 0.334], [0.666, 0.666, 0.666], [0.085, 0.445, 0.735], [0.265, 0.915, 0.555], [0.445, 0.735, 0.085], [0.555, 0.265, 0.915], [0.735, 0.085, 0.445], [0.915, 0.555, 0.265]], "e_form_raw_ev_per_atom": -1.5055, "sg": "R-3, No. 148", "vol_a3_per_atom": 25.685, "total_magnetization_mub_per_atom": 0.00}

---

{"formula": "ScFeH3", "functional": "GGA-PBE", "state": "relaxed", "cell": [[5.477, 0.000, 0.000], [0.000, 4.577, 0.000], [-1.827, 0.000, 6.052]], "species": ["Sc", "Sc", "Sc", "Sc", "Fe", "Fe", "Fe", "Fe", "H", "H", "H", "H", "H", "H", "H", "H", "H", "H", "H", "H"], "frac_coords": [[0.172, 0.243, 0.168], [0.172, 0.257, 0.668], [0.828, 0.743, 0.332], [0.828, 0.757, 0.832], [0.343, 0.736, 0.460], [0.343, 0.764, 0.960], [0.657, 0.236, 0.040], [0.657, 0.264, 0.540], [0.164, 0.746, 0.167], [0.164, 0.754, 0.667], [0.352, 0.092, 0.465], [0.352, 0.408, 0.965], [0.498, 0.002, 0.844], [0.498, 0.498, 0.344], [0.502, 0.502, 0.656], [0.502, 0.998, 0.156], [0.648, 0.592, 0.035], [0.648, 0.908, 0.535], [0.836, 0.246, 0.333], [0.836, 0.254, 0.833]], "sg": "P2_1/c, No. 14", "vol_a3_per_atom": 7.586, "energy_ev_per_atom": -5.24, "total_magnetization_mub_per_atom": 0.04}

---

{"formula": "Pr2NdP3", "functional": "GGA-PBE", "state": "relaxed", "cell": [[-2.099, 2.962, 6.285], [2.099, -2.962, 6.285], [2.099, 2.962, -6.285]], "species": ["Pr", "Pr", "Nd", "P", "P", "P"], "frac_coords": [[0.167, 0.167, 0.000], [0.833, 0.833, 0.000], [0.500, 0.500, 0.000], [0.000, 0.500, 0.500], [0.335, 0.835, 0.500], [0.665, 0.165, 0.500]], "sg": "Immm, No. 71", "vol_a3_per_atom": 26.051, "total_magnetization_mub_per_atom": 0.00, "e_form_ev_per_atom": -1.52}

---

{"formula": "Pm2ZrH", "functional": "GGA-PBE", "state": "relaxed", "cell": [[3.326, 0.000, 0.000], [0.000, 3.326, 0.000], [0.000, 0.000, 8.213]], "species": ["Pm", "Pm", "Zr", "H"], "frac_coords": [[0.000, 0.000, 0.207], [0.000, 0.000, 0.793], [0.500, 0.500, 0.500], [0.500, 0.500, 0.000]], "relative_energy_ev_per_atom": 0.000, "sg": "P4/mmm, No. 123", "vol_a3_per_atom": 22.712, "total_magnetization_mub_per_atom": 0.00}

---

{"formula": "Dy2Er2Sc7", "functional": "GGA-PBE", "state": "relaxed", "cell": [[3.100, -5.552, 0.000], [3.100, 5.552, 0.000], [-2.916, 0.000, 8.654]], "species": ["Dy", "Dy", "Er", "Er", "Sc", "Sc", "Sc", "Sc", "Sc", "Sc", "Sc"], "frac_coords": [[0.210, 0.790, 0.000], [0.790, 0.210, 0.000], [0.337, 0.337, 0.294], [0.663, 0.663, 0.706], [0.000, 0.000, 0.500], [0.057, 0.479, 0.657], [0.254, 0.254, 0.883], [0.479, 0.057, 0.657], [0.521, 0.943, 0.343], [0.746, 0.746, 0.117], [0.943, 0.521, 0.343]], "relative_energy_ev_per_atom": 0.040, "sg": "C2/m, No. 12", "vol_a3_per_atom": 27.081, "total_magnetization_mub_per_atom": 0.00, "e_form_ev_per_atom": 0.17}

---

{"formula": "LaErSc2Se4", "functional": "GGA-PBE", "state": "relaxed", "cell": [[7.004, 0.000, 0.000], [0.000, 3.979, 0.000], [-2.266, 0.000, 6.637]], "species": ["La", "Er", "Sc", "Sc", "Se", "Se", "Se", "Se"], "frac_coords": [[0.000, 0.000, 0.000], [0.500, 0.500, 0.000], [0.000, 0.500, 0.500], [0.500, 0.000, 0.500], [0.254, 0.000, 0.732], [0.269, 0.500, 0.276], [0.731, 0.500, 0.724], [0.746, 0.000, 0.268]], "e_form_raw_ev_per_atom": -1.6966, "sg": "P2/m, No. 10", "vol_a3_per_atom": 23.121, "total_magnetization_mub_per_atom": 0.00}

---

{"formula": "ZrCoRe", "functional": "GGA-PBE", "state": "relaxed", "cell": [[-1.403, 1.403, 5.925], [1.403, -1.403, 5.925], [1.403, 1.403, -5.925]], "species": ["Zr", "Co", "Re"], "frac_coords": [[0.000, 0.000, 0.000], [0.324, 0.324, 0.000], [0.695, 0.695, 0.000]], "relative_energy_ev_per_atom": 0.287, "sg": "I4mm, No. 107", "vol_a3_per_atom": 15.545, "total_magnetization_mub_per_atom": 0.00, "e_form_ev_per_atom": -0.02}

---

{"formula": "VCd2AgBi", "functional": "GGA-PBE", "state": "relaxed", "cell": [[5.230, 0.000, 0.000], [0.000, 5.230, 0.000], [0.000, 0.000, 5.065]], "species": ["V", "Cd", "Cd", "Ag", "Bi"], "frac_coords": [[0.000, 0.000, 0.000], [0.000, 0.500, 0.000], [0.500, 0.000, 0.000], [0.000, 0.000, 0.500], [0.500, 0.500, 0.500]], "sg": "P4/mmm, No. 123", "vol_a3_per_atom": 27.704, "total_magnetization_mub_per_atom": 0.54, "e_form_ev_per_atom": 0.86}

---

{"formula": "LiDyIn2Cl6", "functional": "GGA-PBE", "state": "relaxed", "cell": [[7.238, 0.000, 0.000], [0.000, 7.408, 0.000], [-7.198, 0.000, 10.311]], "species": ["Li", "Li", "Dy", "Dy", "In", "In", "In", "In", "Cl", "Cl", "Cl", "Cl", "Cl", "Cl", "Cl", "Cl", "Cl", "Cl", "Cl", "Cl"], "frac_coords": [[0.000, 0.000, 0.000], [0.000, 0.500, 0.500], [0.500, 0.000, 0.500], [0.500, 0.500, 0.000], [0.235, 0.057, 0.747], [0.235, 0.443, 0.247], [0.765, 0.557, 0.753], [0.765, 0.943, 0.253], [0.172, 0.208, 0.466], [0.172, 0.292, 0.966], [0.258, 0.710, 0.465], [0.258, 0.790, 0.965], [0.318, 0.013, 0.248], [0.318, 0.487, 0.748], [0.682, 0.513, 0.252], [0.682, 0.987, 0.752], [0.742, 0.210, 0.035], [0.742, 0.290, 0.535], [0.828, 0.708, 0.034], [0.828, 0.792, 0.534]], "e_form_raw_ev_per_atom": -1.6074, "sg": "P2_1/c, No. 14", "vol_a3_per_atom": 27.645, "total_magnetization_mub_per_atom": 0.00}

---

{"formula": "KYRe", "functional": "GGA-PBE", "state": "relaxed", "cell": [[0.000, 2.551, 8.724], [1.793, 0.000, 8.724], [1.793, 2.551, 0.000]], "species": ["K", "Y", "Re"], "frac_coords": [[0.000, 0.000, 0.000], [0.720, 0.720, 0.280], [0.339, 0.339, 0.661]], "relative_energy_ev_per_atom": 0.000, "sg": "Fmm2, No. 42", "vol_a3_per_atom": 26.610, "total_magnetization_mub_per_atom": 0.00, "e_form_ev_per_atom": 0.96}

---

{"formula": "Rb2BaAuF6", "functional": "GGA-PBE", "state": "relaxed", "cell": [[-3.491, 3.491, 4.641], [3.491, -3.491, 4.641], [3.491, 3.491, -4.641]], "species": ["Rb", "Rb", "Ba", "Au", "F", "F", "F", "F", "F", "F"], "frac_coords": [[0.250, 0.750, 0.500], [0.750, 0.250, 0.500], [0.000, 0.000, 0.000], [0.500, 0.500, 0.000], [0.255, 0.255, 0.511], [0.255, 0.745, 0.000], [0.274, 0.274, 0.000], [0.726, 0.726, 0.000], [0.745, 0.255, 0.000], [0.745, 0.745, 0.489]], "e_form_raw_ev_per_atom": -2.4034, "sg": "I4/mmm, No. 139", "vol_a3_per_atom": 22.624, "total_magnetization_mub_per_atom": 0.10}

---

{"formula": "Nd2TlIn2Rh5", "functional": "GGA-PBE", "state": "relaxed", "cell": [[10.239, 0.000, 0.000], [0.000, 10.239, 0.000], [0.000, 0.000, 3.815]], "species": ["Nd", "Nd", "Nd", "Nd", "Tl", "Tl", "In", "In", "In", "In", "Rh", "Rh", "Rh", "Rh", "Rh", "Rh", "Rh", "Rh", "Rh", "Rh"], "frac_coords": [[0.173, 0.327, 0.000], [0.327, 0.827, 0.000], [0.673, 0.173, 0.000], [0.827, 0.673, 0.000], [0.000, 0.000, 0.000], [0.500, 0.500, 0.000], [0.126, 0.626, 0.000], [0.374, 0.126, 0.000], [0.626, 0.874, 0.000], [0.874, 0.374, 0.000], [0.000, 0.500, 0.500], [0.062, 0.799, 0.500], [0.201, 0.062, 0.500], [0.299, 0.562, 0.500], [0.438, 0.299, 0.500], [0.500, 0.000, 0.500], [0.562, 0.701, 0.500], [0.701, 0.438, 0.500], [0.799, 0.938, 0.500], [0.938, 0.201, 0.500]], "sg": "P4/mbm, No. 127", "vol_a3_per_atom": 19.994, "total_magnetization_mub_per_atom": 0.00, "e_form_ev_per_atom": -0.37}

---

{"formula": "KHgSe", "functional": "GGA-PBE", "state": "relaxed", "cell": [[0.000, 3.698, 3.698], [3.698, 0.000, 3.698], [3.698, 3.698, 0.000]], "species": ["K", "Hg", "Se"], "frac_coords": [[0.000, 0.000, 0.000], [0.500, 0.500, 0.500], [0.250, 0.250, 0.250]], "relative_energy_ev_per_atom": 0.037, "e_form_raw_ev_per_atom": -0.5082, "sg": "F-43m, No. 216", "vol_a3_per_atom": 33.701, "total_magnetization_mub_per_atom": 0.00}

---

{"formula": "KSn2Pd5", "functional": "GGA-PBE", "state": "relaxed", "cell": [[-2.038, 3.777, 5.354], [2.038, -3.777, 5.354], [2.038, 3.777, -5.354]], "species": ["K", "Sn", "Sn", "Pd", "Pd", "Pd", "Pd", "Pd"], "frac_coords": [[0.000, 0.000, 0.000], [0.254, 0.754, 0.500], [0.746, 0.246, 0.500], [0.172, 0.360, 0.812], [0.452, 0.640, 0.812], [0.500, 0.000, 0.500], [0.548, 0.360, 0.188], [0.828, 0.640, 0.188]], "sg": "Immm, No. 71", "vol_a3_per_atom": 20.610, "total_magnetization_mub_per_atom": 0.00, "e_form_ev_per_atom": -0.35}

---

{"formula": "SmGa9Co3", "functional": "GGA-PBE", "state": "relaxed", "cell": [[10.465, -2.008, 0.000], [10.465, 2.008, 0.000], [-7.010, 0.000, 10.140]], "species": ["Sm", "Sm", "Ga", "Ga", "Ga", "Ga", "Ga", "Ga", "Ga", "Ga", "Ga", "Ga", "Ga", "Ga", "Ga", "Ga", "Ga", "Ga", "Ga", "Ga", "Co", "Co", "Co", "Co", "Co", "Co"], "frac_coords": [[0.047, 0.047, 0.287], [0.953, 0.953, 0.713], [0.000, 0.000, 0.000], [0.000, 0.000, 0.500], [0.180, 0.180, 0.933], [0.225, 0.225, 0.646], [0.283, 0.283, 0.203], [0.303, 0.303, 0.547], [0.380, 0.380, 0.819], [0.399, 0.399, 0.474], [0.426, 0.426, 0.072], [0.440, 0.440, 0.296], [0.560, 0.560, 0.704], [0.574, 0.574, 0.928], [0.601, 0.601, 0.526], [0.620, 0.620, 0.181], [0.697, 0.697, 0.453], [0.717, 0.717, 0.797], [0.775, 0.775, 0.354], [0.820, 0.820, 0.067], [0.125, 0.125, 0.687], [0.126, 0.126, 0.063], [0.283, 0.283, 0.890], [0.717, 0.717, 0.110], [0.874, 0.874, 0.937], [0.875, 0.875, 0.313]], "sg": "C2/m, No. 12", "vol_a3_per_atom": 16.389, "total_magnetization_mub_per_atom": 0.00, "e_form_ev_per_atom": -0.29}

---

{"formula": "HfTi2NiBr", "functional": "GGA-PBE", "state": "relaxed", "cell": [[4.665, 0.000, 0.000], [0.000, 4.665, 0.000], [0.000, 0.000, 4.872]], "species": ["Hf", "Ti", "Ti", "Ni", "Br"], "frac_coords": [[0.000, 0.000, 0.000], [0.000, 0.500, 0.500], [0.500, 0.000, 0.500], [0.000, 0.000, 0.500], [0.500, 0.500, 0.000]], "e_form_raw_ev_per_atom": 0.3564, "sg": "P4/mmm, No. 123", "vol_a3_per_atom": 21.201, "total_magnetization_mub_per_atom": 0.53}